one.
Density functional theory data (PBE) for a relaxed structure of TlAgW2. Values from VASP.

```
&SYSTEM
  ibrav = 0, nat = 4, ntyp = 3
/
ATOMIC_SPECIES
Tl 204.38 Tl.upf
Ag 107.87 Ag.upf
W 183.84 W.upf
ATOMIC_POSITIONS angstrom
Tl 0.0000 0.0000 0.0000
Ag 0.0000 2.1005 2.0141
W 2.1005 0.0000 2.0141
W 0.0000 0.0000 4.0281
CELL_PARAMETERS angstrom
-2.1005 2.1005 4.0281
2.1005 -2.1005 4.0281
2.1005 2.1005 -4.0281
```

Symmetry ... I-4m2, No. 119
Calculated volume ... 71.1 Å³/cell
Total magnetization ... 0.000 μB/f.u.

***

two.
Density functional theory data (PBE) for a relaxed structure of TlAgW2. Values from VASP.

```
&SYSTEM
  ibrav = 0, nat = 4, ntyp = 3
/
ATOMIC_SPECIES
Tl 204.38 Tl.upf
Ag 107.87 Ag.upf
W 183.84 W.upf
ATOMIC_POSITIONS angstrom
Tl 0.0000 0.0000 0.0000
Ag 7.1687 0.0000 1.1981
W 2.0749 0.0000 3.7467
W 4.5691 0.0000 2.7065
CELL_PARAMETERS angstrom
4.8325 -1.4026 0.0000
4.8325 1.4026 0.0000
-0.5030 0.0000 5.3462
```

Symmetry ... Cm, No. 8
Calculated volume ... 72.5 Å³/cell
Total magnetization ... 0.000 μB/f.u.

***

Most stable: two. Least stable: one.

***

one.
Density functional theory data (PBE) for a relaxed structure of TlAgW2. Values from VASP.

```
&SYSTEM
  ibrav = 0, nat = 4, ntyp = 3
/
ATOMIC_SPECIES
Tl 204.38 Tl.upf
Ag 107.87 Ag.upf
W 183.84 W.upf
ATOMIC_POSITIONS angstrom
Tl 0.0000 0.0000 0.0000
Ag 1.1738 2.1249 4.5592
W 1.6718 2.1249 1.7794
W 2.5974 0.0000 2.9585
CELL_PARAMETERS angstrom
2.8838 0.0000 0.0000
0.0000 4.2498 0.0000
-0.2122 0.0000 6.0734
```

Symmetry ... Pm, No. 6
Calculated volume ... 74.4 Å³/cell
Total magnetization ... 0.000 μB/f.u.

***

two.
Density functional theory data (PBE) for a relaxed structure of TlAgW2. Values from VASP.

```
&SYSTEM
  ibrav = 0, nat = 8, ntyp = 3
/
ATOMIC_SPECIES
Tl 204.38 Tl.upf
Ag 107.87 Ag.upf
W 183.84 W.upf
ATOMIC_POSITIONS angstrom
Tl 0.0000 0.0000 0.0000
Tl 0.0000 3.7887 1.3647
Ag 3.7887 0.0000 1.3647
Ag 0.0000 0.0000 2.7294
W 1.8944 1.9580 -0.6823
W 5.6194 1.8944 0.6823
W 1.8944 1.8307 2.0470
W -1.8307 1.8944 3.4117
CELL_PARAMETERS angstrom
-3.7887 3.7887 2.7294
3.7887 -3.7887 2.7294
3.7887 3.7887 -2.7294
```

Symmetry ... I-42d, No. 122
Calculated volume ... 156.7 Å³/cell
Total magnetization ... 0.000 μB/f.u.

***

Most stable: one. Least stable: two.

***

one.
Density functional theory data (PBE) for a relaxed structure of TlAgW2. Values from VASP.

```
&SYSTEM
  ibrav = 0, nat = 4, ntyp = 3
/
ATOMIC_SPECIES
Tl 204.38 Tl.upf
Ag 107.87 Ag.upf
W 183.84 W.upf
ATOMIC_POSITIONS angstrom
Tl 0.0000 0.0000 0.0000
Ag 1.4013 1.4013 6.8239
W 0.0000 0.0000 4.6430
W 1.4013 1.4013 2.4450
CELL_PARAMETERS angstrom
2.8026 0.0000 0.0000
0.0000 2.8026 0.0000
0.0000 0.0000 9.4343
```

Symmetry ... P4mm, No. 99
Calculated volume ... 74.1 Å³/cell
Total magnetization ... 0.000 μB/f.u.

***

two.
Density functional theory data (PBE) for a relaxed structure of TlAgW2. Values from VASP.

```
&SYSTEM
  ibrav = 0, nat = 4, ntyp = 3
/
ATOMIC_SPECIES
Tl 204.38 Tl.upf
Ag 107.87 Ag.upf
W 183.84 W.upf
ATOMIC_POSITIONS angstrom
Tl 0.0000 0.0000 0.0000
Ag 0.0000 0.0000 4.6334
W 1.9661 0.0000 2.3167
W 0.0000 1.9661 2.3167
CELL_PARAMETERS angstrom
-1.9661 1.9661 4.6334
1.9661 -1.9661 4.6334
1.9661 1.9661 -4.6334
```

Symmetry ... I4/mmm, No. 139
Calculated volume ... 71.6 Å³/cell
Total magnetization ... 0.000 μB/f.u.

***

Most stable: one. Least stable: two.

***

one.
Density functional theory data (PBE) for a relaxed structure of TlAgW. Values from VASP.

```
&SYSTEM
  ibrav = 0, nat = 3, ntyp = 3
/
ATOMIC_SPECIES
Tl 204.38 Tl.upf
Ag 107.87 Ag.upf
W 183.84 W.upf
ATOMIC_POSITIONS angstrom
Tl 0.0000 0.0000 0.0000
Ag 0.0000 1.7236 4.8580
W 1.4927 0.8618 2.5372
CELL_PARAMETERS angstrom
2.9854 0.0000 0.0000
-1.4927 2.5854 0.0000
0.0000 0.0000 7.4812
```

Symmetry ... P3m1, No. 156
Calculated volume ... 57.7 Å³/cell
Total magnetization ... 0.000 μB/f.u.

***

two.
Density functional theory data (PBE) for a relaxed structure of TlAgW. Values from VASP.

```
&SYSTEM
  ibrav = 0, nat = 3, ntyp = 3
/
ATOMIC_SPECIES
Tl 204.38 Tl.upf
Ag 107.87 Ag.upf
W 183.84 W.upf
ATOMIC_POSITIONS angstrom
Tl 0.0000 0.0000 0.0000
Ag 1.6156 2.4221 10.0023
W 1.6156 2.4221 4.8963
CELL_PARAMETERS angstrom
0.0000 2.4221 7.4194
1.6156 0.0000 7.4194
1.6156 2.4221 0.0000
```

Symmetry ... Fmm2, No. 42
Calculated volume ... 58.1 Å³/cell
Total magnetization ... 0.000 μB/f.u.

***

three.
Density functional theory data (PBE) for a relaxed structure of TlAgW. Values from VASP.

```
&SYSTEM
  ibrav = 0, nat = 3, ntyp = 3
/
ATOMIC_SPECIES
Tl 204.38 Tl.upf
Ag 107.87 Ag.upf
W 183.84 W.upf
ATOMIC_POSITIONS angstrom
Tl 0.0000 0.0000 0.0000
Ag 3.2581 3.2581 3.2581
W 4.8872 4.8872 4.8872
CELL_PARAMETERS angstrom
0.0000 3.2581 3.2581
3.2581 0.0000 3.2581
3.2581 3.2581 0.0000
```

Symmetry ... F-43m, No. 216
Calculated volume ... 69.2 Å³/cell
Total magnetization ... 1.644 μB/f.u.

***

Most stable: one. Least stable: three.

***

one.
Density functional theory data (PBE) for a relaxed structure of Tl2AgW2. Values from VASP.

```
&SYSTEM
  ibrav = 0, nat = 5, ntyp = 3
/
ATOMIC_SPECIES
Tl 204.38 Tl.upf
Ag 107.87 Ag.upf
W 183.84 W.upf
ATOMIC_POSITIONS angstrom
Tl 2.0469 0.0000 3.3073
Tl 0.0000 2.0469 3.3073
Ag 0.0000 0.0000 0.0000
W 0.0000 0.0000 5.4623
W 0.0000 0.0000 7.7669
CELL_PARAMETERS angstrom
-2.0469 2.0469 6.6146
2.0469 -2.0469 6.6146
2.0469 2.0469 -6.6146
```

Symmetry ... I4/mmm, No. 139
Calculated volume ... 110.9 Å³/cell
Total magnetization ... 0.000 μB/f.u.

***

two.
Density functional theory data (PBE) for a relaxed structure of Tl2AgW2. Values from VASP.

```
&SYSTEM
  ibrav = 0, nat = 10, ntyp = 3
/
ATOMIC_SPECIES
Tl 204.38 Tl.upf
Ag 107.87 Ag.upf
W 183.84 W.upf
ATOMIC_POSITIONS angstrom
Tl 1.3474 2.3702 0.0000
Tl 2.3702 6.0879 0.0000
Tl 5.0651 1.3474 0.0000
Tl 6.0879 5.0651 0.0000
Ag 0.0000 0.0000 1.8820
Ag 3.7176 3.7176 1.8820
W 0.8610 4.5786 1.8820
W 2.8567 0.8610 1.8820
W 4.5786 6.5743 1.8820
W 6.5743 2.8567 1.8820
CELL_PARAMETERS angstrom
7.4353 0.0000 0.0000
0.0000 7.4353 0.0000
0.0000 0.0000 3.7640
```

Symmetry ... P4/mbm, No. 127
Calculated volume ... 208.1 Å³/cell
Total magnetization ... 0.000 μB/f.u.

***

Most stable: two. Least stable: one.

***

one.
Density functional theory data (PBE) for a relaxed structure of Y2TlAg. Values from VASP.

```
&SYSTEM
  ibrav = 0, nat = 4, ntyp = 3
/
ATOMIC_SPECIES
Y 88.91 Y.upf
Tl 204.38 Tl.upf
Ag 107.87 Ag.upf
ATOMIC_POSITIONS angstrom
Y 0.0000 0.0000 1.7993
Y 0.0000 0.0000 5.8595
Tl 1.8279 1.8491 3.8294
Ag 1.8279 1.8491 0.0000
CELL_PARAMETERS angstrom
3.6557 0.0000 0.0000
0.0000 3.6983 0.0000
0.0000 0.0000 7.6588
```

Symmetry ... Pmmm, No. 47
Calculated volume ... 103.5 Å³/cell
Total magnetization ... 0.000 μB/f.u.

***

two.
Density functional theory data (PBE) for a relaxed structure of Y2TlAg. Values from VASP.

```
&SYSTEM
  ibrav = 0, nat = 4, ntyp = 3
/
ATOMIC_SPECIES
Y 88.91 Y.upf
Tl 204.38 Tl.upf
Ag 107.87 Ag.upf
ATOMIC_POSITIONS angstrom
Y 0.0000 0.0000 0.0000
Y 0.0140 2.4150 3.4923
Tl 1.8988 0.0000 2.6760
Ag 1.8951 2.4150 0.7846
CELL_PARAMETERS angstrom
3.7808 0.0000 0.0000
0.0000 4.8300 0.0000
-1.8507 0.0000 5.8296
```

Symmetry ... Pm, No. 6
Calculated volume ... 106.5 Å³/cell
Total magnetization ... 0.000 μB/f.u.

***

Most stable: one. Least stable: two.